VASP calculation (PBE with a Hubbard U) on a relaxed InCoNO crystal.

Cell lengths 3.411, 5.875, 5.560 Å; angles 90.00, 90.00, 90.00 degrees
Fractional positions:
In  0.000  0.162  0.000
In  0.000  0.838  0.500
Co  0.500  0.332  0.488
Co  0.500  0.668  0.988
N  0.000  0.185  0.383
N  0.000  0.815  0.883
O  0.500  0.344  0.858
O  0.500  0.656  0.358

Summary:
Its total moment is 6.0 μB per cell. The calculation puts the density at 6.07 g/cm3. The final energy is -5.6761 eV/atom. As for the space-group type: Pmc2_1. For the energy relative to the lowest polymorph listed for this composition, the calculation gives 0 meV per atom.